! Ta2CoIr, relaxed, DFT PBE; values from VASP
&SYSTEM
  ibrav = 0, nat = 4, ntyp = 3
/
ATOMIC_SPECIES
Co 58.93 Co.upf
Ta 180.95 Ta.upf
Ir 192.22 Ir.upf
ATOMIC_POSITIONS crystal
Co 0.500 0.500 0.000
Ta 0.000 0.000 0.000
Ta 0.750 0.250 0.500
Ir 0.250 0.750 0.500
CELL_PARAMETERS angstrom
4.990 -0.002 -0.014
2.053 4.548 0.014
-3.513 -2.285 2.708
! - SG: I-4m2, No. 119
! - Final energy: -10.19 eV/atom
! - Crystal system: tetragonal
! - Theoretical density: 16.56 g cm⁻³
! - ΔE_f: -0.28 eV/atom